DFT (GGA-PBE) results for a relaxed Sm11Mg9Co4 crystal.

## Properties
* spin magnetization: 0.59 μB/cell
* VASP energy: -4.06 eV/atom
* SG: No. 65
* calculated formation energy: -0.111 eV per atom
* density: 5.773 Mg/m³

Geometry as POSCAR:
```
Sm11Mg9Co4
1.0
-0.680 3.674 0.108
-12.272 -2.403 4.488
8.949 1.370 9.724
Sm Mg Co
11 9 4
Direct
0.000 0.582 0.911
0.000 0.418 0.089
0.000 0.911 0.582
0.000 0.089 0.418
0.000 0.626 0.374
0.000 0.374 0.626
0.000 0.843 0.157
0.000 0.157 0.843
0.000 0.000 0.000
0.000 0.688 0.688
0.000 0.312 0.312
0.500 0.633 0.155
0.500 0.367 0.845
0.500 0.155 0.633
0.500 0.845 0.367
0.500 0.781 0.923
0.500 0.219 0.077
0.500 0.923 0.781
0.500 0.077 0.219
0.500 0.500 0.500
0.500 0.546 0.747
0.500 0.454 0.253
0.500 0.747 0.546
0.500 0.253 0.454
```